*P*
The following is a GGA-PBE calculation of a relaxed TcTe2Br crystal, from Alexandria.

The structure in POSCAR format:
```
TcTe2Br
1.0
8.672 -0.019 -0.011
7.893 3.593 -0.011
7.893 1.703 3.164
Br Te Tc
1 2 1
Cartesian
6.114 1.319 0.785
0.403 0.087 0.052
11.826 2.552 1.519
18.343 3.958 2.356
```

***

*Q*
The following is a GGA-PBE calculation of a relaxed TcTe2Br crystal, from Alexandria.

The structure in POSCAR format:
```
TcTe2Br
1.0
1.802 0.000 12.637
-0.901 1.560 12.637
-0.901 -1.560 12.637
Br Te Tc
1 2 1
Cartesian
0.000 0.000 18.956
0.000 0.000 35.291
0.000 0.000 2.622
0.000 0.000 0.000
```

***

*R*
The following is a GGA-PBE calculation of a relaxed TcTe2Br crystal, from Alexandria.

The structure in POSCAR format:
```
TcTe2Br
1.0
6.906 0.020 -0.002
4.296 5.408 0.002
-5.049 -3.854 2.712
Br Te Tc
1 2 1
Cartesian
3.729 -0.560 1.355
0.836 0.405 0.000
4.765 2.309 0.000
2.424 2.134 1.357
```

***

*S*
The following is a GGA-PBE calculation of a relaxed TcTe2Br crystal, from Alexandria.

The structure in POSCAR format:
```
TcTe2Br
1.0
3.396 0.000 0.000
0.000 6.732 0.000
0.000 0.000 4.711
Te Br Tc
2 1 1
Cartesian
1.698 3.366 0.000
0.000 0.000 0.000
1.698 0.000 2.356
0.000 3.366 2.356
```

***

Which one sits at the top of the stability order? *P* does.

***

*P*
The following is a GGA-PBE calculation of a relaxed TcTe2Br crystal, from Alexandria.

The structure in POSCAR format:
```
TcTe2Br
1.0
-6.940 -8.335 1.016
-4.011 -10.018 1.488
-5.516 -8.445 4.114
Te Br Tc
2 1 1
Cartesian
-4.184 -6.809 1.681
-0.425 -0.691 0.171
-7.770 -12.646 3.123
-12.321 -20.052 4.952
```

***

*Q*
The following is a GGA-PBE calculation of a relaxed TcTe2Br crystal, from Alexandria.

The structure in POSCAR format:
```
TcTe2Br
1.0
-3.282 -1.164 0.091
0.640 -1.310 6.326
-2.644 7.854 5.118
Te Tc Br
4 2 2
Cartesian
-2.786 5.645 5.085
-0.977 0.390 3.069
-4.308 4.990 8.466
-2.500 -0.266 6.450
-4.943 6.614 6.333
-0.342 -1.234 5.202
-1.916 3.383 7.495
-3.369 1.996 4.040
```

***

*R*
The following is a GGA-PBE calculation of a relaxed TcTe2Br crystal, from Alexandria.

The structure in POSCAR format:
```
TcTe2Br
1.0
4.601 0.000 0.000
0.000 3.987 -0.060
0.000 0.322 6.537
Br Tc Te
1 1 2
Cartesian
0.000 2.572 3.514
2.300 3.008 5.644
0.000 4.240 6.001
2.300 0.952 1.033
```

***

Which one sits at the top of the stability order? *Q* does.

***

*P*
The following is a GGA-PBE calculation of a relaxed TcTeBr2 crystal, from Alexandria.

The structure in POSCAR format:
```
TcTeBr2
1.0
9.345 0.000 0.000
0.000 9.345 0.000
4.672 4.672 2.564
Br Tc Te
4 2 2
Cartesian
3.632 7.009 0.641
7.009 8.304 1.923
5.713 2.336 0.641
11.681 10.385 1.923
4.672 4.672 0.000
4.672 9.345 1.282
9.345 4.672 1.282
0.000 0.000 0.000
```

***

*Q*
The following is a GGA-PBE calculation of a relaxed TcTeBr2 crystal, from Alexandria.

The structure in POSCAR format:
```
TcTeBr2
1.0
10.447 -0.081 -0.048
9.907 3.315 -0.048
9.907 1.574 2.918
Br Tc Te
2 1 1
Cartesian
29.357 4.664 2.738
16.037 2.548 1.496
7.566 1.202 0.706
22.697 3.606 2.117
```

***

Which one sits at the top of the stability order? *P* does.

***

*P*
The following is a GGA-PBE calculation of a relaxed Tc2TeBr crystal, from Alexandria.

The structure in POSCAR format:
```
Tc2TeBr
1.0
-1.520 -0.508 -2.643
5.039 -0.578 -2.788
-0.027 -4.266 0.835
Tc Br Te
2 1 1
Cartesian
0.000 0.000 0.000
1.759 -0.543 -2.715
2.506 -2.422 -0.976
-0.774 -2.387 -0.904
```

***

*Q*
The following is a GGA-PBE calculation of a relaxed Tc2TeBr crystal, from Alexandria.

The structure in POSCAR format:
```
Tc2TeBr
1.0
-7.719 5.508 -3.336
-8.504 2.759 -4.595
-9.310 3.415 -1.649
Tc Te Br
2 1 1
Cartesian
-6.619 3.029 -2.484
-25.363 11.605 -9.517
-13.325 6.097 -5.000
-18.525 8.476 -6.951
```

***

*R*
The following is a GGA-PBE calculation of a relaxed Tc2TeBr crystal, from Alexandria.

The structure in POSCAR format:
```
Tc2TeBr
1.0
3.060 0.000 0.000
0.000 3.060 0.000
0.000 0.000 8.862
Tc Br Te
2 1 1
Cartesian
1.530 1.530 1.924
0.000 0.000 0.269
1.530 1.530 7.373
0.000 0.000 3.728
```

***

Which one sits at the top of the stability order? *R* does.

***

*P*
The following is a GGA-PBE calculation of a relaxed Tc2TeBr crystal, from Alexandria.

The structure in POSCAR format:
```
Tc2TeBr
1.0
8.351 -0.003 -0.002
7.743 3.130 -0.002
7.743 1.504 2.745
Tc Te Br
2 1 1
Cartesian
11.979 2.327 1.377
23.777 4.619 2.734
5.959 1.158 0.685
17.878 3.473 2.056
```

***

*Q*
The following is a GGA-PBE calculation of a relaxed Tc2TeBr crystal, from Alexandria.

The structure in POSCAR format:
```
Tc2TeBr
1.0
3.583 0.000 0.000
0.000 3.741 0.005
0.000 -0.009 6.736
Tc Br Te
2 1 1
Cartesian
0.000 2.802 2.807
0.000 2.805 0.569
1.791 2.799 5.056
1.791 0.933 1.685
```

***

Which one sits at the top of the stability order? *Q* does.

***

*P*
The following is a GGA-PBE calculation of a relaxed Tc2TeBr crystal, from Alexandria.

The structure in POSCAR format:
```
Tc2TeBr
1.0
-1.416 -2.211 2.460
1.732 -2.387 -1.148
6.761 0.660 4.486
Te Tc Br
1 2 1
Cartesian
3.796 -1.178 1.126
1.117 -1.574 1.860
1.747 -1.754 -0.570
6.396 -2.682 3.903
```

***

*Q*
The following is a GGA-PBE calculation of a relaxed Tc2TeBr crystal, from Alexandria.

The structure in POSCAR format:
```
Tc2TeBr
1.0
-1.839 -2.245 -1.453
-0.081 0.438 3.215
-6.273 5.749 -0.941
Te Tc Br
1 2 1
Cartesian
-2.529 0.534 0.646
-3.075 2.818 -0.461
-0.061 0.056 -0.009
-5.665 3.409 0.175
```

***

Which one sits at the top of the stability order? *P* does.